(1)
Density functional theory data (PBE) for Ac2GePd3 after structural relaxation.

## Properties
Calculated density = 9.390 g cm⁻³
Calculated formation energy = -19.2 kcal/mol of atoms

a = 8.6363 Å, b = 8.6363 Å, c = 8.6363 Å
α = 151.39°, β = 150.92°, γ = 41.25°
Fractional coordinates of all 6 atoms:
1 Ac 0.0000 0.0000 0.0000
2 Ac 0.7426 0.2426 0.5000
3 Ge 0.4074 0.4074 0.0000
4 Pd 0.1638 0.6638 0.5000
5 Pd 0.3320 0.8320 0.5000
6 Pd 0.5636 0.5636 0.0000



(2)
Density functional theory data (PBE) for RbThF6 after structural relaxation.

## Properties
Calculated density = 6.100 g cm⁻³
Energy relative to the elements, uncorrected = -3.116 eV per atom

a = 7.9739 Å, b = 7.9739 Å, c = 7.9739 Å
α = 30.74°, β = 30.74°, γ = 30.74°
Fractional coordinates of all 8 atoms:
1 Rb 0.0000 0.0000 0.0000
2 Th 0.5000 0.5000 0.5000
3 F 0.1395 0.1395 0.1395
4 F 0.2484 0.2484 0.2484
5 F 0.4032 0.4032 0.4032
6 F 0.5968 0.5968 0.5968
7 F 0.7516 0.7516 0.7516
8 F 0.8605 0.8605 0.8605



Number 1: DFT total energy -5.57 eV per atom. Number 2: DFT total energy -5.57 eV per atom.